[1]
La3Sm3Th after structural relaxation. Source: the Alexandria database, functional PBE-GGA.

Summary:
Spin magnetization = 0.000 μB per atom
Symmetry = P2_1/m
Energy of formation from the pure elements = 125 meV/atom
Density of states at the Fermi level = 1.29 states/eV/atom
V = 250.4 Å³/f.u.

Unit cell a=11.5160 b=3.6314 c=11.9781 alpha=90.00 beta=90.75 gamma=90.00
Sites, in units of the cell vectors:
La1 0.0113 0.2500 0.3654
La2 0.0543 0.2500 0.8938
La3 0.4459 0.2500 0.8870
La4 0.5541 0.7500 0.1130
La5 0.9457 0.7500 0.1062
La6 0.9887 0.7500 0.6346
Sm1 0.2493 0.2500 0.6833
Sm2 0.2573 0.2500 0.1582
Sm3 0.2597 0.7500 0.4307
Sm4 0.7403 0.2500 0.5693
Sm5 0.7427 0.7500 0.8418
Sm6 0.7507 0.7500 0.3167
Th1 0.4971 0.7500 0.6285
Th2 0.5029 0.2500 0.3715

[2]
Pm5Bi2Te2 after structural relaxation. Source: the Alexandria database, functional PBE-GGA.

Summary:
Spin magnetization = 0.000 μB per atom
Symmetry = Cmce
Density of states at the Fermi level = 0.93 states/eV/atom
V = 279.8 Å³/f.u.
Formation energy without anion corrections = -1031.1 meV/atom

Unit cell a=9.0008 b=9.0008 c=8.3926 alpha=90.00 beta=90.00 gamma=55.39
Sites, in units of the cell vectors:
Pm1 0.0000 0.0000 0.0000
Pm2 0.0212 0.7019 0.6573
Pm3 0.2019 0.5212 0.1573
Pm4 0.2981 0.9788 0.6573
Pm5 0.4788 0.7981 0.1573
Pm6 0.5000 0.5000 0.5000
Pm7 0.5212 0.2019 0.8427
Pm8 0.7019 0.0212 0.3427
Pm9 0.7981 0.4788 0.8427
Pm10 0.9788 0.2981 0.3427
Bi1 0.1435 0.8565 0.3570
Bi2 0.3565 0.6435 0.8570
Bi3 0.6435 0.3565 0.1430
Bi4 0.8565 0.1435 0.6430
Te1 0.1975 0.1975 0.0000
Te2 0.3025 0.3025 0.5000
Te3 0.6975 0.6975 0.5000
Te4 0.8025 0.8025 0.0000

[3]
Ac6Ag3Ir2Pt after structural relaxation. Source: the Alexandria database, functional PBE-GGA.

Summary:
Spin magnetization = 0.000 μB per atom
Symmetry = C2/m
Energy of formation from the pure elements = -577 meV/atom
Density of states at the Fermi level = 0.44 states/eV/atom
V = 388.3 Å³/f.u.

Unit cell a=7.6628 b=7.6628 c=8.0498 alpha=99.11 beta=99.11 gamma=119.99
Sites, in units of the cell vectors:
Ac1 0.0875 0.4283 0.7849
Ac2 0.2298 0.2298 0.2112
Ac3 0.4283 0.0875 0.7849
Ac4 0.5717 0.9125 0.2151
Ac5 0.7702 0.7702 0.7888
Ac6 0.9125 0.5717 0.2151
Ag1 0.0000 0.0000 0.5000
Ag2 0.3387 0.6613 0.5000
Ag3 0.6613 0.3387 0.5000
Ir1 0.1674 0.8326 0.0000
Ir2 0.8326 0.1674 0.0000
Pt1 0.5000 0.5000 0.0000

[4]
Ag2As2Pd3 after structural relaxation. Source: the Alexandria database, functional PBE-GGA.

Summary:
Spin magnetization = 0.000 μB per atom
Symmetry = C2/m
Energy of formation from the pure elements = -190 meV/atom
Density of states at the Fermi level = 0.39 states/eV/atom
V = 121.5 Å³/f.u.

Unit cell a=11.8584 b=3.1577 c=7.1301 alpha=90.00 beta=114.45 gamma=90.00
Sites, in units of the cell vectors:
Ag1 0.0874 0.0000 0.2368
Ag2 0.4126 0.5000 0.7632
Ag3 0.5874 0.5000 0.2368
Ag4 0.9126 0.0000 0.7632
As1 0.1857 0.0000 0.7025
As2 0.3143 0.5000 0.2975
As3 0.6857 0.5000 0.7025
As4 0.8143 0.0000 0.2975
Pd1 0.0000 0.5000 0.5000
Pd2 0.1357 0.5000 0.9416
Pd3 0.3643 0.0000 0.0584
Pd4 0.5000 0.0000 0.5000
Pd5 0.6357 0.0000 0.9416
Pd6 0.8643 0.5000 0.0584

[5]
Hf2GaCu after structural relaxation. Source: the Alexandria database, functional PBE-GGA.

Summary:
Spin magnetization = 0.000 μB per atom
Symmetry = R-3m
Energy of formation from the pure elements = -34 meV/atom
Density of states at the Fermi level = 0.89 states/eV/atom
V = 76.2 Å³/f.u.

Unit cell a=3.2288 b=3.2288 c=25.3237 alpha=90.00 beta=90.00 gamma=120.00
Sites, in units of the cell vectors:
Hf1 0.0000 0.0000 0.2461
Hf2 0.0000 0.0000 0.7539
Hf3 0.3333 0.6667 0.4205
Hf4 0.3333 0.6667 0.9128
Hf5 0.6667 0.3333 0.0872
Hf6 0.6667 0.3333 0.5795
Ga1 0.0000 0.0000 0.0000
Ga2 0.3333 0.6667 0.6667
Ga3 0.6667 0.3333 0.3333
Cu1 0.0000 0.0000 0.5000
Cu2 0.3333 0.6667 0.1667
Cu3 0.6667 0.3333 0.8333

[6]
TiPbS2 after structural relaxation. Source: the Alexandria database, functional PBE-GGA.

Summary:
Spin magnetization = 0.000 μB per atom
Symmetry = Pnma
Density of states at the Fermi level = 0.66 states/eV/atom
V = 87.2 Å³/f.u.
Formation energy without anion corrections = -798.6 meV/atom

Unit cell a=7.0651 b=4.0538 c=12.1839 alpha=90.00 beta=90.00 gamma=90.00
Sites, in units of the cell vectors:
Ti1 0.0582 0.2500 0.0928
Ti2 0.4418 0.7500 0.5928
Ti3 0.5582 0.2500 0.4072
Ti4 0.9418 0.7500 0.9072
Pb1 0.1358 0.7500 0.3539
Pb2 0.3642 0.2500 0.8539
Pb3 0.6358 0.7500 0.1461
Pb4 0.8642 0.2500 0.6461
S1 0.1533 0.7500 0.7447
S2 0.2034 0.7500 0.0352
S3 0.2966 0.2500 0.5352
S4 0.3467 0.2500 0.2447
S5 0.6533 0.7500 0.7553
S6 0.7034 0.7500 0.4648
S7 0.7966 0.2500 0.9648
S8 0.8467 0.2500 0.2553

[7]
Pr3Nd4ErSe8 after structural relaxation. Source: the Alexandria database, functional PBE-GGA.

Summary:
Spin magnetization = 0.000 μB per atom
Symmetry = R-3m
Density of states at the Fermi level = 0.65 states/eV/atom
V = 426.1 Å³/f.u.
Formation energy without anion corrections = -1813.3 meV/atom

Unit cell a=8.4394 b=8.4394 c=8.4394 alpha=60.11 beta=60.11 gamma=60.11
Sites, in units of the cell vectors:
Pr1 0.0000 0.5000 0.5000
Pr2 0.5000 0.0000 0.5000
Pr3 0.5000 0.5000 0.0000
Nd1 0.0000 0.0000 0.5000
Nd2 0.0000 0.5000 0.0000
Nd3 0.5000 0.0000 0.0000
Nd4 0.5000 0.5000 0.5000
Er1 0.0000 0.0000 0.0000
Se1 0.2410 0.7570 0.7570
Se2 0.2430 0.2430 0.7590
Se3 0.2430 0.7590 0.2430
Se4 0.2490 0.2490 0.2490
Se5 0.7510 0.7510 0.7510
Se6 0.7570 0.2410 0.7570
Se7 0.7570 0.7570 0.2410
Se8 0.7590 0.2430 0.2430

[8]
Cr3IrSe after structural relaxation. Source: the Alexandria database, functional PBE-GGA.

Summary:
Spin magnetization = 1.341 μB per atom
Symmetry = Pm-3m
Density of states at the Fermi level = 0.94 states/eV/atom
V = 84.1 Å³/f.u.
Formation energy without anion corrections = 1099.3 meV/atom

Unit cell a=4.3816 b=4.3816 c=4.3816 alpha=90.00 beta=90.00 gamma=90.00
Sites, in units of the cell vectors:
Cr1 0.0000 0.0000 0.5000
Cr2 0.0000 0.5000 0.0000
Cr3 0.5000 0.0000 0.0000
Ir1 0.5000 0.5000 0.5000
Se1 0.0000 0.0000 0.0000

- Which value of V does entry 7 give?
  426.1 Å³/f.u.

- The highest density of states at the Fermi level belongs to which entry?
  La3Sm3Th